Record 1
DFT (PBE) results for Rb3Hg6Au after structural relaxation.

The structure in POSCAR format:
```
Rb3Hg6Au
1.0
8.916 0.030 -1.067
-1.205 8.835 -1.067
0.026 0.030 8.980
Hg Rb Au
12 6 2
Direct
0.163 0.408 0.464
0.908 0.663 0.964
0.592 0.536 0.837
0.337 0.036 0.092
0.964 0.908 0.663
0.663 0.964 0.908
0.464 0.163 0.408
0.408 0.464 0.163
0.837 0.592 0.536
0.036 0.092 0.337
0.092 0.337 0.036
0.536 0.837 0.592
0.750 0.316 0.184
0.684 0.816 0.250
0.316 0.184 0.750
0.250 0.684 0.816
0.184 0.750 0.316
0.816 0.250 0.684
0.000 0.000 0.000
0.500 0.500 0.500
```

Properties
crystal system: trigonal
total energy: -1.003 eV/atom
calculated volume: 354.1 Å³/f.u.
space group: R-3c



Record 2
DFT (PBE) results for AlFeW2 after structural relaxation.

The structure in POSCAR format:
```
AlFeW2
1.0
-2.392 0.857 4.205
-0.469 -4.575 -1.728
2.178 -0.749 1.392
W Al Fe
2 1 1
Direct
0.000 0.000 0.000
0.500 0.500 0.000
0.500 0.000 0.500
0.000 0.500 0.500
```

Properties
crystal system: orthorhombic
total energy: -9.391 eV/atom
calculated volume: 59.0 Å³/f.u.
space group: Cmmm



Record 3
DFT (PBE) results for YCu9Pd2 after structural relaxation.

The structure in POSCAR format:
```
YCu9Pd2
1.0
4.743 0.000 1.412
2.161 4.222 1.412
0.082 0.050 8.397
Cu Y Pd
9 1 2
Direct
0.589 0.081 0.741
0.081 0.589 0.741
0.589 0.589 0.741
0.919 0.411 0.259
0.334 0.334 0.998
0.666 0.666 0.002
0.411 0.411 0.259
0.500 0.500 0.500
0.411 0.919 0.259
0.000 0.000 0.000
0.855 0.855 0.435
0.145 0.145 0.565
```

Properties
crystal system: trigonal
total energy: -4.636 eV/atom
calculated volume: 167.5 Å³/f.u.
space group: R-3m



Record 4
DFT (PBE) results for NbGe3Pb after structural relaxation.

The structure in POSCAR format:
```
NbGe3Pb
1.0
5.236 0.000 0.000
0.000 5.236 0.000
0.000 0.000 5.236
Ge Pb Nb
3 1 1
Direct
0.500 0.000 0.000
0.000 0.500 0.000
0.000 0.000 0.500
0.000 0.000 0.000
0.500 0.500 0.500
```

Properties
crystal system: cubic
total energy: -3.794 eV/atom
calculated volume: 143.5 Å³/f.u.
space group: Pm-3m



- Which formula does entry 1 have?
  Rb3Hg6Au



Repeat the first record exactly.
DFT (PBE) results for Rb3Hg6Au after structural relaxation.

The structure in POSCAR format:
```
Rb3Hg6Au
1.0
8.916 0.030 -1.067
-1.205 8.835 -1.067
0.026 0.030 8.980
Hg Rb Au
12 6 2
Direct
0.163 0.408 0.464
0.908 0.663 0.964
0.592 0.536 0.837
0.337 0.036 0.092
0.964 0.908 0.663
0.663 0.964 0.908
0.464 0.163 0.408
0.408 0.464 0.163
0.837 0.592 0.536
0.036 0.092 0.337
0.092 0.337 0.036
0.536 0.837 0.592
0.750 0.316 0.184
0.684 0.816 0.250
0.316 0.184 0.750
0.250 0.684 0.816
0.184 0.750 0.316
0.816 0.250 0.684
0.000 0.000 0.000
0.500 0.500 0.500
```

Properties
crystal system: trigonal
total energy: -1.003 eV/atom
calculated volume: 354.1 Å³/f.u.
space group: R-3c



- Which formula does entry 1 have?
  Rb3Hg6Au